## BeCrW (PBE-GGA)

Data for crystalline BeCrW at its relaxed geometry.

```
data_BeCrW
_symmetry_space_group_name_H-M 'P 1'
_symmetry_Int_Tables_number 1
_cell_length_a 2.598
_cell_length_b 2.598
_cell_length_c 10.976
_cell_angle_alpha 90.00
_cell_angle_beta 90.00
_cell_angle_gamma 90.00
loop_
_symmetry_equiv_pos_as_xyz
'x,y,z'
loop_
_atom_site_label
_atom_site_fract_x
_atom_site_fract_y
_atom_site_fract_z
Be1 0.000 0.000 0.000
Be2 0.500 0.500 0.500
Cr1 0.000 0.000 0.359
Cr2 0.500 0.500 0.859
W1 0.000 0.000 0.661
W2 0.500 0.500 0.161
```

Computed properties:
As for the space group: No. 107.



## BeCrW2 (PBE-GGA)

Data for crystalline BeCrW2 at its relaxed geometry.

```
data_BeCrW2
_symmetry_space_group_name_H-M 'P 1'
_symmetry_Int_Tables_number 1
_cell_length_a 2.632
_cell_length_b 2.632
_cell_length_c 7.792
_cell_angle_alpha 90.00
_cell_angle_beta 90.00
_cell_angle_gamma 90.00
loop_
_symmetry_equiv_pos_as_xyz
'x,y,z'
loop_
_atom_site_label
_atom_site_fract_x
_atom_site_fract_y
_atom_site_fract_z
Be1 0.000 0.000 0.000
Cr1 0.000 0.000 0.500
W1 0.500 0.500 0.225
W2 0.500 0.500 0.775
```

Computed properties:
As for the space group: No. 123.



## BeCr2W (PBE-GGA)

Data for crystalline BeCr2W at its relaxed geometry.

```
data_BeCr2W
_symmetry_space_group_name_H-M 'P 1'
_symmetry_Int_Tables_number 1
_cell_length_a 2.572
_cell_length_b 4.016
_cell_length_c 4.839
_cell_angle_alpha 90.00
_cell_angle_beta 100.65
_cell_angle_gamma 90.00
loop_
_symmetry_equiv_pos_as_xyz
'x,y,z'
loop_
_atom_site_label
_atom_site_fract_x
_atom_site_fract_y
_atom_site_fract_z
Be1 0.000 0.000 0.000
Cr1 0.612 0.000 0.473
Cr2 0.843 0.500 0.256
W1 0.343 0.500 0.758
```

Computed properties:
As for the space group: No. 6.



## BeCrW (PBE-GGA)

Data for crystalline BeCrW at its relaxed geometry.

```
data_BeCrW
_symmetry_space_group_name_H-M 'P 1'
_symmetry_Int_Tables_number 1
_cell_length_a 3.176
_cell_length_b 4.159
_cell_length_c 11.235
_cell_angle_alpha 90.00
_cell_angle_beta 90.00
_cell_angle_gamma 90.00
loop_
_symmetry_equiv_pos_as_xyz
'x,y,z'
loop_
_atom_site_label
_atom_site_fract_x
_atom_site_fract_y
_atom_site_fract_z
Be1 0.000 0.000 0.000
Be2 0.000 0.500 0.500
Be3 0.500 0.000 0.500
Be4 0.500 0.500 0.000
Cr1 0.000 0.000 0.647
Cr2 0.000 0.500 0.147
Cr3 0.500 0.000 0.147
Cr4 0.500 0.500 0.647
W1 0.000 0.000 0.335
W2 0.000 0.500 0.835
W3 0.500 0.000 0.835
W4 0.500 0.500 0.335
```

Computed properties:
As for the space group: No. 42.



## BeCrW (PBE-GGA)

Data for crystalline BeCrW at its relaxed geometry.

```
data_BeCrW
_symmetry_space_group_name_H-M 'P 1'
_symmetry_Int_Tables_number 1
_cell_length_a 4.115
_cell_length_b 4.115
_cell_length_c 2.577
_cell_angle_alpha 90.00
_cell_angle_beta 90.00
_cell_angle_gamma 120.00
loop_
_symmetry_equiv_pos_as_xyz
'x,y,z'
loop_
_atom_site_label
_atom_site_fract_x
_atom_site_fract_y
_atom_site_fract_z
Be1 0.000 0.000 0.000
Cr1 0.333 0.667 0.300
W1 0.667 0.333 0.614
```

Computed properties:
As for the space group: No. 156.



## BeCrW2 (PBE-GGA)

Data for crystalline BeCrW2 at its relaxed geometry.

```
data_BeCrW2
_symmetry_space_group_name_H-M 'P 1'
_symmetry_Int_Tables_number 1
_cell_length_a 3.208
_cell_length_b 4.273
_cell_length_c 7.792
_cell_angle_alpha 90.00
_cell_angle_beta 90.00
_cell_angle_gamma 90.00
loop_
_symmetry_equiv_pos_as_xyz
'x,y,z'
loop_
_atom_site_label
_atom_site_fract_x
_atom_site_fract_y
_atom_site_fract_z
Be1 0.000 0.000 0.000
Be2 0.500 0.500 0.000
Cr1 0.000 0.500 0.793
Cr2 0.500 0.000 0.793
W1 0.000 0.000 0.527
W2 0.000 0.500 0.234
W3 0.500 0.000 0.234
W4 0.500 0.500 0.527
```

Computed properties:
As for the space group: No. 35.



Number 1: theoretical density 11.0 g/cm³, E -8.484 eV/atom. Number 2: theoretical density 13.2 g/cm³, E -9.489 eV/atom. Number 3: theoretical density 10.0 g/cm³, E -8.826 eV/atom. Number 4: theoretical density 11.0 g/cm³, E -8.556 eV/atom. Number 5: theoretical density 10.8 g/cm³, E -8.614 eV/atom. Number 6: theoretical density 13.3 g/cm³, E -9.653 eV/atom.